This record from the Alexandria database describes crystalline CuTeOsN2 at its relaxed geometry. The functional is PBE-GGA.

Cell lengths 3.781, 3.781, 5.852 Å; angles 90.00, 90.00, 90.00 degrees
Last column: magnetic moment on the atom in μB.
Positions (direct):
N (0.500, 0.000, 0.000)  0.11
Os (0.000, 0.000, 0.000)  -0.04
Te (0.000, 0.000, 0.500)  0.00
Cu (0.500, 0.500, 0.500)  0.00
N (0.000, 0.500, 0.000)  0.11

Output
SG   P4/mmm, No. 123
E above lowest polymorph   0 meV/atom



This record from the Alexandria database describes crystalline CuOsWN2 at its relaxed geometry. The functional is PBE-GGA.

Cell lengths 3.775, 4.990, 3.775 Å; angles 90.00, 90.00, 90.00 degrees
Last column: magnetic moment on the atom in μB.
Positions (direct):
Os (0.000, 0.000, 0.000)  0.23
N (0.000, 0.000, 0.500)  -0.15
N (0.500, 0.000, 0.000)  -0.12
W (0.500, 0.500, 0.500)  2.16
Cu (0.000, 0.500, 0.000)  0.08

Output
E   -37.11 eV per cell
SG   P4/mmm, No. 123



This record from the Alexandria database describes crystalline CuOs2WN at its relaxed geometry. The functional is PBE-GGA.

Cell lengths 4.700, 4.627, 4.700 Å; angles 90.00, 90.00, 90.00 degrees
Positions (direct):
Os (0.500, 0.000, 0.000)
Os (0.000, 0.000, 0.500)
N (0.500, 0.500, 0.500)
W (0.000, 0.000, 0.000)
Cu (0.000, 0.500, 0.000)

Output
E   -31.77 eV per cell
SG   P4/mmm, No. 123



This record from the Alexandria database describes crystalline CuPN3 at its relaxed geometry. The functional is PBE-GGA.

Cell lengths 3.470, 3.470, 3.470 Å; angles 90.00, 90.00, 90.00 degrees
Positions (direct):
N (0.500, 0.000, 0.000)
N (0.000, 0.500, 0.000)
P (0.000, 0.000, 0.000)
N (0.000, 0.000, 0.500)
Cu (0.500, 0.500, 0.500)

Output
E   -28.51 eV per cell
SG   Pm-3m, No. 221



This record from the Alexandria database describes crystalline CuPN2 at its relaxed geometry. The functional is PBE-GGA.

Cell lengths 5.923, 5.923, 5.923 Å; angles 26.53, 26.53, 26.53 degrees
Positions (direct):
N (0.112, 0.112, 0.112)
N (0.888, 0.888, 0.888)
Cu (0.000, 0.000, 0.000)
P (0.500, 0.500, 0.500)

Output
E   -26.29 eV per cell
SG   R-3m, No. 166



This record from the Alexandria database describes crystalline CuP2N at its relaxed geometry. The functional is PBE-GGA.

Cell lengths 4.853, 4.853, 5.763 Å; angles 65.10, 65.10, 90.00 degrees
Positions (direct):
P (0.172, 0.625, 0.250)
P (0.578, 0.125, 0.250)
P (0.875, 0.828, 0.750)
P (0.375, 0.422, 0.750)
Cu (0.000, 0.000, 0.000)
N (0.500, 0.500, 0.000)
Cu (0.750, 0.250, 0.500)
N (0.250, 0.750, 0.500)

Output
E   -43.16 eV per cell
SG   I-42d, No. 122



This record from the Alexandria database describes crystalline Cu3PN at its relaxed geometry. The functional is PBE-GGA.

Cell lengths 3.928, 3.928, 3.928 Å; angles 90.00, 90.00, 90.00 degrees
Positions (direct):
Cu (0.500, 0.000, 0.000)
N (0.000, 0.000, 0.000)
Cu (0.000, 0.000, 0.500)
P (0.500, 0.500, 0.500)
Cu (0.000, 0.500, 0.000)

Output
SG   Pm-3m, No. 221
E above lowest polymorph   0 meV/atom



This record from the Alexandria database describes crystalline CuPN2 at its relaxed geometry. The functional is PBE-GGA.

Cell lengths 4.480, 4.480, 5.008 Å; angles 63.43, 63.43, 90.00 degrees
Positions (direct):
N (0.542, 0.125, 0.250)
P (0.250, 0.750, 0.500)
N (0.375, 0.458, 0.750)
N (0.875, 0.792, 0.750)
N (0.208, 0.625, 0.250)
P (0.500, 0.500, 0.000)
Cu (0.750, 0.250, 0.500)
Cu (0.000, 0.000, 0.000)

Output
E   -53.44 eV per cell
SG   I-42d, No. 122